# AcHo2MoN4 (PBE, optimized geometry)
# * size of the total moment: 0.0 μB per cell
# * energy relative to the elements, uncorrected: -109.75 kJ/mol of atoms
# * uncorrected energy: -8.3121 eV/atom
data_AcHo2MoN4
_cell_length_a 3.4864
_cell_length_b 12.0946
_cell_length_c 11.9544
_cell_angle_alpha 90.00
_cell_angle_beta 90.00
_cell_angle_gamma 90.00
_space_group_name_H-M_alt 'C m c m'
_space_group_IT_number 63
_space_group_name_Hall '-C 2c 2'
loop_
_atom_site_label
_atom_site_type_symbol
_atom_site_fract_x
_atom_site_fract_y
_atom_site_fract_z
Ac1 Ac 0.0000 0.0833 0.2500
Ho1 Ho 0.0000 0.3706 0.0408
Mo1 Mo 0.0000 0.1761 0.7500
N1 N 0.0000 0.0000 0.0000
N2 N 0.0000 0.2613 0.6151
N3 N 0.0000 0.4213 0.2500